No. 1
DFT (GGA-PBE) results for crystalline SmYNi2Pb at its relaxed geometry.

```
SmYNi2Pb
1.0
-0.802 -2.821 -2.254
-7.288 1.340 0.916
-6.155 3.564 -2.271
Pb Y Ni Sm
1 1 2 1
Direct
0.000 0.001 0.001 Pb
0.500 0.640 0.640 Y
0.000 0.799 0.799 Ni
0.000 0.200 0.200 Ni
0.500 0.360 0.360 Sm
```

Computed properties:
The energy is -5.697 eV/atom.

***

No. 2
DFT (GGA-PBE) results for crystalline Y4Ge3W2N3 at its relaxed geometry.

```
Y4Ge3W2N3
1.0
-4.763 -2.927 -1.818
-1.150 -5.325 2.208
-5.135 8.258 9.527
N Ge W Y
6 6 4 8
Direct
0.824 0.338 0.500 N
0.000 0.500 0.000 N
0.662 0.176 0.000 N
0.500 0.000 0.500 N
0.338 0.824 0.000 N
0.176 0.662 0.500 N
0.586 0.675 0.750 Ge
0.675 0.586 0.250 Ge
0.414 0.325 0.250 Ge
0.840 0.160 0.750 Ge
0.325 0.414 0.750 Ge
0.160 0.840 0.250 Ge
0.525 0.360 0.576 W
0.640 0.475 0.924 W
0.475 0.640 0.424 W
0.360 0.525 0.076 W
0.131 0.297 0.397 Y
0.963 0.800 0.897 Y
0.869 0.703 0.603 Y
0.297 0.131 0.897 Y
0.800 0.963 0.397 Y
0.703 0.869 0.103 Y
0.037 0.200 0.103 Y
0.200 0.037 0.603 Y
```

Computed properties:
The energy is -8.341 eV/atom.